Here is a relaxed structure of Pr8Tl2Pt from Alexandria. Energies are from PBE.

Results
Calculated formation energy = -308 meV/atom
Space-group type = Cm, No. 8
Offset from the most stable computed form = 0.017 eV/atom

Cell lengths 9.455, 9.455, 6.169 Å; angles 108.32, 108.32, 121.92 degrees
Element x y z (fractional)
Pr (0.000, 0.000, 0.000)
Pr (0.036, 0.274, 0.733)
Pr (0.077, 0.680, 0.020)
Pr (0.274, 0.036, 0.733)
Pr (0.504, 0.504, 0.698)
Pr (0.529, 0.760, 0.343)
Pr (0.680, 0.077, 0.020)
Pr (0.760, 0.529, 0.343)
Tl (0.173, 0.575, 0.502)
Tl (0.575, 0.173, 0.502)
Pt (0.874, 0.874, 0.318)

***

Here is a relaxed structure of NbAl2Se from Alexandria. Energies are from PBE.

Results
Space-group type = I-42d, No. 122
E_form (uncorrected) = 146 meV per atom

Cell lengths 5.868, 5.868, 5.868 Å; angles 102.68, 102.68, 124.12 degrees
Element x y z (fractional)
Nb (0.000, 0.000, 0.000)
Nb (0.750, 0.250, 0.500)
Al (0.143, 0.625, 0.018)
Al (0.375, 0.393, 0.518)
Al (0.607, 0.125, 0.982)
Al (0.875, 0.857, 0.482)
Se (0.250, 0.750, 0.500)
Se (0.500, 0.500, 0.000)

***

Here is a relaxed structure of Li2ZnIn from Alexandria. Energies are from PBE.

Results
Calculated formation energy = -95 meV/atom
Space-group type = R3m, No. 160

Cell lengths 9.353, 9.353, 9.353 Å; angles 19.08, 19.08, 19.08 degrees
Element x y z (fractional)
Li (0.000, 0.000, 0.000)
Li (0.178, 0.178, 0.178)
Zn (0.588, 0.588, 0.588)
In (0.422, 0.422, 0.422)

***

Here is a relaxed structure of MgTl2Te from Alexandria. Energies are from PBE.

Results
Space-group type = C2/m, No. 12
E_form (uncorrected) = -195 meV per atom
Offset from the most stable computed form = 0.041 eV/atom

Cell lengths 6.750, 6.750, 4.243 Å; angles 107.74, 107.74, 125.21 degrees
Element x y z (fractional)
Mg (0.000, 0.000, 0.000)
Tl (0.000, 0.500, 0.500)
Tl (0.500, 0.000, 0.500)
Te (0.500, 0.500, 0.000)

***

Here is a relaxed structure of HoThCoTc from Alexandria. Energies are from PBE.

Results
Calculated formation energy = -101 meV/atom
Space-group type = F-43m, No. 216

Cell lengths 4.870, 4.870, 4.870 Å; angles 60.00, 60.00, 60.00 degrees
Element x y z (fractional)
Ho (0.000, 0.000, 0.000)
Th (0.500, 0.500, 0.500)
Co (0.750, 0.750, 0.750)
Tc (0.250, 0.250, 0.250)

***

Here is a relaxed structure of ScBe3 from Alexandria. Energies are from PBE.

Results
Calculated formation energy = 260 meV/atom
Space-group type = Pm-3m, No. 221
Offset from the most stable computed form = 0.395 eV/atom

Cell lengths 3.710, 3.710, 3.710 Å; angles 90.00, 90.00, 90.00 degrees
Element x y z (fractional)
Sc (0.000, 0.000, 0.000)
Be (0.000, 0.500, 0.500)
Be (0.500, 0.000, 0.500)
Be (0.500, 0.500, 0.000)

***

Here is a relaxed structure of AuCl7 from Alexandria. Energies are from PBE.

Results
Space-group type = Fm-3m, No. 225
E_form (uncorrected) = 803 meV per atom

Cell lengths 6.246, 6.246, 6.246 Å; angles 60.00, 60.00, 60.00 degrees
Element x y z (fractional)
Au (0.000, 0.000, 0.000)
Cl (0.000, 0.000, 0.500)
Cl (0.000, 0.500, 0.000)
Cl (0.000, 0.500, 0.500)
Cl (0.500, 0.000, 0.000)
Cl (0.500, 0.000, 0.500)
Cl (0.500, 0.500, 0.000)
Cl (0.500, 0.500, 0.500)

***

Here is a relaxed structure of LiLaSeI from Alexandria. Energies are from PBE.

Results
Space-group type = R-3m, No. 166
E_form (uncorrected) = -1449 meV per atom

Cell lengths 15.600, 15.600, 15.600 Å; angles 15.70, 15.70, 15.70 degrees
Element x y z (fractional)
Li (0.187, 0.187, 0.187)
Li (0.813, 0.813, 0.813)
La (0.422, 0.422, 0.422)
La (0.578, 0.578, 0.578)
Se (0.130, 0.130, 0.130)
Se (0.870, 0.870, 0.870)
I (0.290, 0.290, 0.290)
I (0.710, 0.710, 0.710)

***

Fermi-level density of states
In order: 12.3, 6.3, 1.4, 1.1, 3.5, 3.5, 9.7, 4.7
Unit: states/eV per cell
Energy
In order: -52.397, -40.907, -8.221, -10.249, -29.874, -16.468, -9.776, -35.344
Unit: eV for the cell shown
Total moment
In order: 0.00, 0.00, 0.00, 0.00, 0.09, 0.00, 0.35, 0.00
Unit: μB per atom